Record 1
VASP calculation (PBE-GGA) on a relaxed Sr2Sn2Pd15 crystal.

**DFT formation energy**: -328 meV/atom
**VASP energy**: -5.0261 eV/atom
**Crystal system**: trigonal
**Spin magnetization**: 0.00 Bohr magnetons per cell

```
Sr2Sn2Pd15
1.0
-2.9918 6.4539 -0.2099
-4.0106 -0.5791 5.8504
4.3952 3.2749 4.5394
Pd Sr Sn
15 2 2
direct
0.7012 0.0000 0.2988
0.8474 0.3461 0.3461
0.7012 0.2988 0.0000
0.6539 0.1526 0.6539
0.1526 0.6539 0.6539
0.0000 0.0000 0.5000
0.6539 0.6539 0.1526
0.0000 0.2988 0.7012
0.0000 0.7012 0.2988
0.3461 0.3461 0.8474
0.2988 0.0000 0.7012
0.0000 0.5000 0.0000
0.3461 0.8474 0.3461
0.2988 0.7012 0.0000
0.5000 0.0000 0.0000
0.6476 0.6476 0.6476
0.3524 0.3524 0.3524
0.8942 0.8942 0.8942
0.1058 0.1058 0.1058
```

---

Record 2
VASP calculation (PBE-GGA) on a relaxed Sr4SnPd crystal.

**DFT formation energy**: -483 meV/atom
**VASP energy**: -3.1368 eV/atom
**Crystal system**: monoclinic
**Spin magnetization**: 0.00 Bohr magnetons per cell

```
Sr4SnPd
1.0
-7.0396 -1.4099 -0.6488
3.5656 -6.9307 -3.9517
1.8670 0.5262 8.8088
Pd Sr Sn
2 8 2
direct
0.7530 0.0030 0.0061
0.2470 0.9970 0.9939
0.6316 0.3483 0.1164
0.9848 0.7680 0.1164
0.0152 0.2320 0.8836
0.7917 0.7044 0.6473
0.2083 0.2956 0.3527
0.3556 0.9430 0.6473
0.3684 0.6517 0.8836
0.6444 0.0570 0.3527
0.6148 0.3648 0.7297
0.3852 0.6352 0.2703
```

---

Record 3
VASP calculation (PBE-GGA) on a relaxed Sr3SnPd4 crystal.

**DFT formation energy**: -626 meV/atom
**VASP energy**: -4.3539 eV/atom
**Crystal system**: monoclinic
**Spin magnetization**: 0.00 Bohr magnetons per cell

```
Sr3SnPd4
1.0
-3.1151 -5.0151 1.4267
5.5446 -5.1066 -5.8442
8.6041 -2.4180 10.2871
Sr Pd Sn
12 16 4
direct
0.7514 0.5519 0.3253
0.2486 0.4481 0.6747
0.7486 0.5519 0.8253
0.2519 0.0516 0.1744
0.9696 0.2503 0.4468
0.5304 0.2503 0.9468
0.2514 0.4481 0.1747
0.7481 0.9484 0.8256
0.0304 0.7497 0.5532
0.2481 0.0516 0.6744
0.4696 0.7497 0.0532
0.7519 0.9484 0.3256
0.4786 0.2500 0.3242
0.4662 0.2499 0.5183
0.9662 0.7501 0.9817
0.5338 0.7501 0.4817
0.0338 0.2499 0.0183
0.3040 0.0049 0.4254
0.6960 0.9951 0.5746
0.8040 0.9951 0.0746
0.1960 0.0049 0.9254
0.8043 0.5049 0.0744
0.6957 0.5049 0.5744
0.1957 0.4951 0.9256
0.9786 0.7500 0.1758
0.5214 0.7500 0.6758
0.0214 0.2500 0.8242
0.3043 0.4951 0.4256
0.2384 0.7500 0.8240
0.2616 0.7500 0.3240
0.7616 0.2500 0.1760
0.7384 0.2500 0.6760
```

---

Record 4
VASP calculation (PBE-GGA) on a relaxed SrSn2Pd8 crystal.

**DFT formation energy**: -125 meV/atom
**VASP energy**: -4.7823 eV/atom
**Crystal system**: tetragonal
**Spin magnetization**: 0.00 Bohr magnetons per cell

```
SrSn2Pd8
1.0
5.4668 0.0000 0.0000
0.0000 5.4668 0.0000
0.0000 0.0000 8.6685
Sn Pd Sr
2 8 1
direct
0.5000 0.0000 0.0000
0.0000 0.5000 0.0000
0.2472 0.7528 0.7842
0.2472 0.2472 0.7842
0.7528 0.2472 0.7842
0.7528 0.7528 0.2158
0.2472 0.7528 0.2158
0.7528 0.2472 0.2158
0.2472 0.2472 0.2158
0.7528 0.7528 0.7842
0.5000 0.5000 0.5000
```

---

Record 5
VASP calculation (PBE-GGA) on a relaxed Sr2Sn7Pd12 crystal.

**DFT formation energy**: -591 meV/atom
**VASP energy**: -5.0526 eV/atom
**Crystal system**: trigonal
**Spin magnetization**: 0.00 Bohr magnetons per cell

```
Sr2Sn7Pd12
1.0
-3.3820 1.6149 -1.7803
-6.2213 -4.5877 7.6570
3.9867 10.0109 1.5070
Pd Sn Sr
12 7 2
direct
0.7624 0.2582 0.1417
0.2376 0.1417 0.8835
0.2376 0.1165 0.2582
0.7536 0.5626 0.6219
0.7624 0.8835 0.7418
0.2376 0.7418 0.8583
0.2464 0.9407 0.5626
0.7536 0.0593 0.4374
0.7536 0.3781 0.9407
0.2464 0.6219 0.0593
0.2464 0.4374 0.3781
0.7624 0.8583 0.1165
0.2580 0.8860 0.2906
0.7420 0.1140 0.7094
0.7420 0.2906 0.4046
0.2580 0.7094 0.5954
0.5000 0.0000 0.0000
0.2580 0.4046 0.1140
0.7420 0.5954 0.8860
0.7560 0.6667 0.3333
0.2440 0.3333 0.6667
```

---

Record 6
VASP calculation (PBE-GGA) on a relaxed SrSn2Pd7 crystal.

**DFT formation energy**: -132 meV/atom
**VASP energy**: -4.7357 eV/atom
**Crystal system**: orthorhombic
**Spin magnetization**: 0.00 Bohr magnetons per cell

```
SrSn2Pd7
1.0
-1.5627 -2.2899 3.8497
-1.4118 -6.1320 -4.2206
6.6966 1.0967 3.3707
Sn Pd Sr
2 7 1
direct
0.5000 0.2984 0.7016
0.5000 0.7016 0.2984
0.5000 0.7023 0.9307
0.5000 0.9307 0.7023
0.5000 0.5000 0.5000
0.0000 0.7836 0.2164
0.0000 0.2164 0.7836
0.5000 0.2977 0.0693
0.5000 0.0693 0.2977
0.0000 0.0000 0.0000
```

---

Record 7
VASP calculation (PBE-GGA) on a relaxed Sr3Sn4Pd crystal.

**DFT formation energy**: -431 meV/atom
**VASP energy**: -3.7121 eV/atom
**Crystal system**: orthorhombic
**Spin magnetization**: 0.00 Bohr magnetons per cell

```
Sr3Sn4Pd
1.0
-3.5741 2.8119 -2.3282
-3.9683 -4.3332 0.8583
1.4494 4.4836 8.7956
Sn Pd Sr
4 1 3
direct
0.3813 0.1381 0.7626
0.6187 0.3755 0.2374
0.3813 0.6245 0.7626
0.6187 0.8619 0.2374
0.5000 0.0000 0.0000
0.2107 0.2107 0.4214
0.0000 0.5000 0.0000
0.7893 0.7893 0.5786
```

---

Record 8
VASP calculation (PBE-GGA) on a relaxed Sr2SnPd crystal.

**DFT formation energy**: -624 meV/atom
**VASP energy**: -3.7638 eV/atom
**Crystal system**: orthorhombic
**Spin magnetization**: 0.00 Bohr magnetons per cell

```
Sr2SnPd
1.0
4.6887 0.0000 0.0000
0.0000 4.9224 0.0000
0.0000 -2.4612 5.6236
Sr Pd Sn
2 1 1
direct
0.0000 0.9794 0.9588
0.5000 0.2660 0.5319
0.0000 0.6865 0.3730
0.5000 0.5674 0.1348
```

---

Record 9
VASP calculation (PBE-GGA) on a relaxed Sr2SnPd2 crystal.

**DFT formation energy**: -450 meV/atom
**VASP energy**: -4.0007 eV/atom
**Crystal system**: tetragonal
**Spin magnetization**: 0.00 Bohr magnetons per cell

```
Sr2SnPd2
1.0
3.8318 0.0000 0.0000
0.0000 3.8318 0.0000
1.9159 1.9159 9.4928
Sr Pd Sn
2 2 1
direct
0.6195 0.6195 0.7611
0.3805 0.3805 0.2389
0.2500 0.7500 0.5000
0.7500 0.2500 0.5000
0.0000 0.0000 0.0000
```

---

Record 10
VASP calculation (PBE-GGA) on a relaxed SrSn4Pd8 crystal.

**DFT formation energy**: -466 meV/atom
**VASP energy**: -5.0228 eV/atom
**Crystal system**: tetragonal
**Spin magnetization**: 0.00 Bohr magnetons per cell

```
SrSn4Pd8
1.0
5.9664 0.0000 0.0000
2.9832 6.4714 0.0000
2.9832 0.0000 6.4714
Sn Pd Sr
4 8 1
direct
0.0000 0.0000 0.5000
0.0000 0.5000 0.0000
0.5000 0.5000 0.0000
0.5000 0.0000 0.5000
0.0000 0.6603 0.3397
0.6603 0.3397 0.3397
0.5000 0.7756 0.2244
0.7244 0.7756 0.7756
0.0000 0.3397 0.6603
0.5000 0.2244 0.7756
0.2756 0.2244 0.2244
0.3397 0.6603 0.6603
0.0000 0.0000 0.0000
```

---

Record 11
VASP calculation (PBE-GGA) on a relaxed SrSn4Pd4 crystal.

**DFT formation energy**: -545 meV/atom
**VASP energy**: -4.8193 eV/atom
**Crystal system**: tetragonal
**Spin magnetization**: 0.00 Bohr magnetons per cell

```
SrSn4Pd4
1.0
5.1805 0.0000 0.0000
0.0000 9.1995 0.0000
0.0000 0.0000 9.1995
Pd Sn Sr
8 8 2
direct
0.9977 0.3214 0.8247
0.4977 0.6753 0.8214
0.5023 0.1786 0.6753
0.4977 0.3247 0.1786
0.5023 0.8214 0.3247
0.9977 0.6786 0.1753
0.0023 0.1753 0.3214
0.0023 0.8247 0.6786
0.0024 0.1253 0.6152
0.4976 0.3747 0.8848
0.9976 0.3848 0.1253
0.4976 0.6253 0.1152
0.5024 0.8848 0.6253
0.5024 0.1152 0.3747
0.9976 0.6152 0.8747
0.0024 0.8747 0.3848
0.5000 0.5000 0.5000
0.0000 0.0000 0.0000
```

---

Record 12
VASP calculation (PBE-GGA) on a relaxed SrSnPd crystal.

**DFT formation energy**: -706 meV/atom
**VASP energy**: -4.3320 eV/atom
**Crystal system**: hexagonal
**Spin magnetization**: 0.00 Bohr magnetons per cell

```
SrSnPd
1.0
-3.3669 -2.3355 -1.2560
2.8751 -3.5027 -1.1939
-1.7631 0.2094 4.3368
Sr Sn Pd
1 1 1
direct
0.6666 0.3333 0.6667
0.1670 0.0000 0.0000
0.1663 0.6667 0.3333
```